No. 1
A plane-wave DFT calculation with PBE was carried out for crystalline NaYNbIr at its relaxed geometry.

The structure belongs to space group F-43m (No. 216); the cell edges are 6.734, 6.734 and 6.734 Å and the angles 90.00°, 90.00° and 90.00°. The asymmetric unit holds Na at (0.000, 0.000, 0.000), Y at (0.250, 0.250, 0.750), Nb at (0.000, 0.000, 0.500) and Ir at (0.250, 0.250, 0.250).

As for the calculated volume: 76.4 Å³/f.u. The calculation puts the total magnetization at 0.11 μB/f.u. For the offset from the most stable computed form, the calculation gives 160.4 meV/atom. The total energy is -6.40 eV/atom.



No. 2
A plane-wave DFT calculation with PBE was carried out for crystalline Al5Re7 at its relaxed geometry.

The structure belongs to space group P6_3/mmc (No. 194); the cell edges are 5.0658, 5.0658 and 16.7125 Å and the angles 90.00°, 90.00° and 120.00°. The asymmetric unit holds Al at (0.0000, 0.5000, 0.0000), Al at (0.3333, 0.6667, 0.1595), Re at (0.0000, 0.0000, 0.1030), Re at (0.1630, 0.3260, 0.7500) and Re at (0.3333, 0.6667, 0.6200).

As for the calculated volume: 185.7 Å³/f.u. The calculation puts the total magnetization at 0.00 μB/f.u. For the offset from the most stable computed form, the calculation gives 89.7 meV/atom. The total energy is -8.62 eV/atom.



No. 3
A plane-wave DFT calculation with PBE was carried out for crystalline TmSc2Tc at its relaxed geometry.

The structure belongs to space group Pnma (No. 62); the cell edges are 7.353, 8.463 and 5.796 Å and the angles 90.00°, 90.00° and 90.00°. The asymmetric unit holds Tm at (0.036, 0.250, 0.118), Sc at (0.174, 0.063, 0.639) and Tc at (0.117, 0.750, 0.428).

As for the calculated volume: 90.2 Å³/f.u. The calculation puts the total magnetization at 0.01 μB/f.u. The total energy is -7.05 eV/atom.



No. 4
A plane-wave DFT calculation with PBE was carried out for crystalline Na4Ga2IrPt at its relaxed geometry.

The structure belongs to space group P-4m2 (No. 115); the cell edges are 4.644, 4.644 and 6.590 Å and the angles 90.00°, 90.00° and 90.00°. The asymmetric unit holds Na at (0.000, 0.000, 0.000), Na at (0.000, 0.500, 0.745), Na at (0.500, 0.500, 0.500), Ga at (0.000, 0.500, 0.231), Ir at (0.500, 0.500, 0.000) and Pt at (0.000, 0.000, 0.500).

As for the calculated volume: 142.1 Å³/f.u. The calculation puts the total magnetization at 0.02 μB/f.u. The total energy is -3.34 eV/atom.



No. 5
A plane-wave DFT calculation with PBE was carried out for crystalline ScZnOs2 at its relaxed geometry.

The structure belongs to space group F-43m (No. 216); the cell edges are 6.281, 6.281 and 6.281 Å and the angles 90.00°, 90.00° and 90.00°. The asymmetric unit holds Sc at (0.000, 0.000, 0.000), Zn at (0.250, 0.250, 0.250), Os at (0.000, 0.000, 0.500) and Os at (0.250, 0.250, 0.750).

As for the calculated volume: 61.9 Å³/f.u. The calculation puts the total magnetization at 0.03 μB/f.u. The total energy is -7.45 eV/atom.



No. 6
A plane-wave DFT calculation with PBE was carried out for crystalline Hf2Ni2Sn at its relaxed geometry.

The structure belongs to space group P4_2/mnm (No. 136); the cell edges are 7.056, 7.056 and 6.754 Å and the angles 90.00°, 90.00° and 90.00°. The asymmetric unit holds Hf at (0.153, 0.153, 0.000), Hf at (0.181, 0.181, 0.500), Ni at (0.126, 0.874, 0.284) and Sn at (0.000, 0.500, 0.250).

As for the calculated volume: 84.1 Å³/f.u. The calculation puts the total magnetization at 0.01 μB/f.u. The total energy is -7.59 eV/atom.